Here is a relaxed structure of CsHoTl2F6 from Alexandria. Energies are from PBE-GGA.

formation energy (no corrections): -2.93 eV per atom

Geometry as CIF:
```
data_CsHoTl2F6
_chemical_formula_sum 'Cs3 Ho3 Tl6 F18'
_cell_length_a 7.0580
_cell_length_b 7.0580
_cell_length_c 16.1974
_cell_angle_alpha 90.00
_cell_angle_beta 90.00
_cell_angle_gamma 120.00
_space_group_name_H-M_alt 'R -3'
_space_group_IT_number 148
_space_group_name_Hall '-R 3'
loop_
_atom_site_label
_atom_site_type_symbol
_atom_site_fract_x
_atom_site_fract_y
_atom_site_fract_z
_atom_site_occupancy
Cs1 Cs 0.0000 0.0000 0.0000 1
Ho1 Ho 0.0000 0.0000 0.5000 1
Tl1 Tl 0.0000 0.0000 0.2736 1
F1 F 0.0080 0.7578 0.5820 1
```